Compound: NdNpMnO6
Source: Alexandria via LeMat-Bulk
Functional: PBE+U
Structure: relaxed

Output
Calculated volume, Å³/f.u.: 131
VASP energy, eV per cell: -154.79
M_tot, μB per cell: 10.000

Cell lengths 5.8618, 5.8618, 8.8225 Å; angles 90.00, 90.00, 120.00 degrees
Last column: nearest neighbours and their distance in Å.
Fractional coordinates of all 18 atoms:
Nd  0.3333  0.6667  0.2500  6 O 2.38
Nd  0.6667  0.3333  0.7500  6 O 2.38
Np  0.6667  0.3333  0.2500  6 O 2.03
Np  0.3333  0.6667  0.7500  6 O 2.03
Mn  0.0000  0.0000  0.0000  6 O 2.32
Mn  0.0000  0.0000  0.5000  6 O 2.32
O  0.6785  0.6345  0.1291  1 Np 2.03
O  0.9560  0.3215  0.1291  1 Np 2.03
O  0.3215  0.9560  0.6291  1 Np 2.03
O  0.0440  0.6785  0.8709  1 Np 2.03
O  0.3655  0.3215  0.3709  1 Np 2.03
O  0.9560  0.6345  0.3709  1 Np 2.03
O  0.6345  0.9560  0.8709  1 Np 2.03
O  0.6785  0.0440  0.3709  1 Np 2.03
O  0.0440  0.3655  0.6291  1 Np 2.03
O  0.3655  0.0440  0.1291  1 Np 2.03
O  0.6345  0.6785  0.6291  1 Np 2.03
O  0.3215  0.3655  0.8709  1 Np 2.03